This record from the Alexandria database describes a relaxed structure of Li4Mn3V2Cu3O16. The functional is PBE+U.

The structure in CIF format:
```
data_Li4Mn3V2Cu3O16
_chemical_formula_sum 'Li8 Mn6 V4 Cu6 O32'
_cell_length_a 10.262
_cell_length_b 5.799
_cell_length_c 9.662
_cell_angle_alpha 90.00
_cell_angle_beta 92.11
_cell_angle_gamma 90.00
_space_group_name_H-M_alt 'C 1 m 1'
_space_group_IT_number 8
loop_
_space_group_symop_operation_xyz
'x,y,z'
'x,-y,z'
'x+1/2,y+1/2,z'
'x+1/2,-y+1/2,z'
loop_
_atom_site_label
_atom_site_type_symbol
_atom_site_fract_x
_atom_site_fract_y
_atom_site_fract_z
Li1 Li 0.000 0.000 0.000
Li2 Li 0.008 0.000 0.508
Li3 Li 0.193 0.500 0.926
Li4 Li 0.329 0.000 0.415
Mn1 Mn 0.080 0.251 0.232
Mn2 Mn 0.186 0.000 0.731
V1 V 0.170 0.500 0.506
V2 V 0.374 0.000 0.989
Cu1 Cu 0.325 0.500 0.229
Cu2 Cu 0.431 0.246 0.720
O1 O 0.007 0.500 0.890
O2 O 0.012 0.500 0.348
O3 O 0.016 0.000 0.810
O4 O 0.098 0.252 0.608
O5 O 0.150 0.000 0.127
O6 O 0.160 0.500 0.131
O7 O 0.220 0.267 0.363
O8 O 0.271 0.213 0.856
O9 O 0.326 0.500 0.573
O10 O 0.342 0.000 0.626
O11 O 0.418 0.240 0.103
O12 O 0.493 0.500 0.320
```

Calculated values
V: 575 Å³ per cell
E_tot: -6.33 eV per atom